No. 1
Material: AcSbSe3
Method: DFT, GGA-PBE
State: optimized geometry

**Spin magnetization**: 0.0 μB/cell
**Volume**: 28.1 A^3/atom
**Energy above the lowest structure with this stoichiometry**: 0.000 eV per atom

CIF file:
```
data_AcSbSe3
_space_group_name_H-M_alt 'P n m a'
_space_group_IT_number 62
_space_group_name_Hall '-P 2ac 2n'
_cell_length_a 8.575
_cell_length_b 4.420
_cell_length_c 14.833
_cell_angle_alpha 90.00
_cell_angle_beta 90.00
_cell_angle_gamma 90.00
loop_
_atom_site_label
_atom_site_type_symbol
_atom_site_fract_x
_atom_site_fract_y
_atom_site_fract_z
Ac1 Ac 0.095 0.250 0.166
Sb1 Sb 0.155 0.750 0.437
Se1 Se 0.025 0.750 0.630
Se2 Se 0.149 0.750 0.008
Se3 Se 0.180 0.250 0.783
```

---

No. 2
Material: Ac4SbSe3
Method: DFT, GGA-PBE
State: optimized geometry

**Spin magnetization**: 0.0 μB/cell
**D(E_F)**: 0.482 states/eV per atom
**Volume**: 33.4 A^3/atom
**Energy above the lowest structure with this stoichiometry**: 0.000 eV per atom

CIF file:
```
data_Ac4SbSe3
_space_group_name_H-M_alt 'C m m m'
_space_group_IT_number 65
_space_group_name_Hall '-C 2 2'
_cell_length_a 9.103
_cell_length_b 12.875
_cell_length_c 4.562
_cell_angle_alpha 90.00
_cell_angle_beta 90.00
_cell_angle_gamma 90.00
loop_
_atom_site_label
_atom_site_type_symbol
_atom_site_fract_x
_atom_site_fract_y
_atom_site_fract_z
Ac1 Ac 0.000 0.246 0.000
Ac2 Ac 0.240 0.000 0.500
Sb1 Sb 0.000 0.500 0.000
Se1 Se 0.000 0.000 0.000
Se2 Se 0.250 0.250 0.500
```

---

No. 3
Material: AcSb2Se4
Method: DFT, GGA-PBE
State: optimized geometry

**Spin magnetization**: 0.0 μB/cell
**D(E_F)**: 0.125 states/eV per atom
**Volume**: 29.3 A^3/atom
**Energy above the lowest structure with this stoichiometry**: 0.000 eV per atom

CIF file:
```
data_AcSb2Se4
_space_group_name_H-M_alt 'C m c m'
_space_group_IT_number 63
_space_group_name_Hall '-C 2c 2'
_cell_length_a 4.504
_cell_length_b 13.185
_cell_length_c 13.808
_cell_angle_alpha 90.00
_cell_angle_beta 90.00
_cell_angle_gamma 90.00
loop_
_atom_site_label
_atom_site_type_symbol
_atom_site_fract_x
_atom_site_fract_y
_atom_site_fract_z
Ac1 Ac 0.000 0.119 0.250
Sb1 Sb 0.000 0.374 0.056
Se1 Se 0.000 0.000 0.000
Se2 Se 0.000 0.269 0.618
Se3 Se 0.000 0.460 0.250
```

---

Q: volume of number 3 (AcSb2Se4)?
A: 29.3 A^3/atom